[1]
The following is a DFT calculation (GGA-PBE) of a relaxed structure of Ba3VSi.

Its formation energy (no corrections) is 585 meV/atom. Its energy is -17.386 eV per cell. For the density of states at the Fermi level, the calculation gives 11.29 states/eV/f.u. Its density is 3195 kg/m3.

The structure belongs to space group Pm-3m (No. 221); the cell edges are 6.3428, 6.3428 and 6.3428 Å and the angles 90.00°, 90.00° and 90.00°. The inequivalent atoms are Ba at (0.0000, 0.0000, 0.5000), V at (0.5000, 0.5000, 0.5000) and Si at (0.0000, 0.0000, 0.0000).



[2]
The following is a DFT calculation (GGA-PBE) of a relaxed structure of Pm4CdAg.

Its energy is -22.256 eV per cell. The value obtained for the formation energy is 0.09 eV per atom. For the density of states at the Fermi level, the calculation gives 11.21 states/eV/f.u. Its density is 6662 kg/m3.

The structure belongs to space group P4/mmm (No. 123); the cell edges are 5.1607, 5.1607 and 7.4901 Å and the angles 90.00°, 90.00° and 90.00°. The inequivalent atoms are Pm at (0.0000, 0.5000, 0.2421), Cd at (0.0000, 0.0000, 0.5000) and Ag at (0.5000, 0.5000, 0.0000).



[3]
The following is a DFT calculation (GGA-PBE) of a relaxed structure of MgAlBr.

Its formation energy (no corrections) is -217 meV/atom. Its energy is -7.663 eV per cell. For the density of states at the Fermi level, the calculation gives 1.49 states/eV/f.u. Its density is 2538 kg/m3.

The structure belongs to space group P3m1 (No. 156); the cell edges are 3.4513, 3.4513 and 8.3196 Å and the angles 90.00°, 90.00° and 120.00°. The inequivalent atoms are Mg at (0.0000, 0.0000, 0.0000), Al at (0.3333, 0.6667, 0.2770) and Br at (0.6667, 0.3333, 0.7963).



[4]
The following is a DFT calculation (GGA-PBE) of a relaxed structure of CsHfSbTe2.

Its formation energy (no corrections) is -517 meV/atom. Its energy is -23.800 eV per cell. For the density of states at the Fermi level, the calculation gives 5.09 states/eV/f.u. Its density is 6209 kg/m3.

The structure belongs to space group P4/mmm (No. 123); the cell edges are 5.7140, 5.7140 and 5.6387 Å and the angles 90.00°, 90.00° and 90.00°. The inequivalent atoms are Cs at (0.0000, 0.0000, 0.0000), Hf at (0.5000, 0.5000, 0.5000), Sb at (0.5000, 0.5000, 0.0000) and Te at (0.0000, 0.5000, 0.5000).



[5]
The following is a DFT calculation (GGA-PBE) of a relaxed structure of CaLa2Br.

Its formation energy (no corrections) is -556 meV/atom. Its energy is -15.753 eV per cell. For the density of states at the Fermi level, the calculation gives 3.81 states/eV/f.u. Its density is 4813 kg/m3.

The structure belongs to space group P4mm (No. 99); the cell edges are 3.6956, 3.6956 and 10.0485 Å and the angles 90.00°, 90.00° and 90.00°. The inequivalent atoms are Ca at (0.0000, 0.0000, 0.0000), La at (0.0000, 0.0000, 0.5506), La at (0.5000, 0.5000, 0.2859) and Br at (0.5000, 0.5000, 0.7932).



[6]
The following is a DFT calculation (GGA-PBE) of a relaxed structure of TiAs2C.

Its energy is -98.386 eV per cell. The value obtained for the formation energy is 0.46 eV per atom. For the density of states at the Fermi level, the calculation gives 2.48 states/eV/f.u. Its density is 5304 kg/m3.

The structure belongs to space group I-42d (No. 122); the cell edges are 5.7845, 5.7845 and 7.8488 Å and the angles 90.00°, 90.00° and 90.00°. The inequivalent atoms are Ti at (0.0000, 0.0000, 0.0000), As at (0.1712, 0.2500, 0.6250) and C at (0.0000, 0.0000, 0.5000).



[7]
The following is a DFT calculation (GGA-PBE) of a relaxed structure of YBiH2Br.

Its energy is -17.442 eV per cell. For the density of states at the Fermi level, the calculation gives 2.26 states/eV/f.u. Its density is 5731 kg/m3.

The structure belongs to space group P4/mmm (No. 123); the cell edges are 4.2498, 4.2498 and 6.0936 Å and the angles 90.00°, 90.00° and 90.00°. The inequivalent atoms are Y at (0.0000, 0.0000, 0.0000), Bi at (0.5000, 0.5000, 0.0000), H at (0.0000, 0.5000, 0.5000) and Br at (0.0000, 0.0000, 0.5000).



[8]
The following is a DFT calculation (GGA-PBE) of a relaxed structure of CaAc2Sn3Pt4.

Its energy is -55.502 eV per cell. The value obtained for the formation energy is -0.91 eV per atom. For the density of states at the Fermi level, the calculation gives 3.91 states/eV/f.u. Its density is 10987 kg/m3.

The structure belongs to space group P-4m2 (No. 115); the cell edges are 4.7147, 4.7147 and 11.0867 Å and the angles 90.00°, 90.00° and 90.00°. The inequivalent atoms are Ca at (0.0000, 0.0000, 0.0000), Ac at (0.0000, 0.5000, 0.7296), Sn at (0.0000, 0.5000, 0.3797), Sn at (0.5000, 0.5000, 0.0000), Pt at (0.0000, 0.0000, 0.5000), Pt at (0.0000, 0.5000, 0.1421) and Pt at (0.5000, 0.5000, 0.5000).



[9]
The following is a DFT calculation (GGA-PBE) of a relaxed structure of AgH2Rh.

Its energy is -16.877 eV per cell. For the density of states at the Fermi level, the calculation gives 1.95 states/eV/f.u. Its density is 9144 kg/m3.

The structure belongs to space group P3m1 (No. 156); the cell edges are 2.9759, 2.9759 and 5.0383 Å and the angles 90.00°, 90.00° and 120.00°. The inequivalent atoms are Ag at (0.0000, 0.0000, 0.0000), H at (0.0000, 0.0000, 0.6163), H at (0.6667, 0.3333, 0.3518) and Rh at (0.3333, 0.6667, 0.4862).